[1]
Zr2Ge2P: relaxed, PBE.

Lattice parameters (Å, degrees): 7.0476 7.0476 3.7751 90.00 90.00 90.00
Atoms (fractional coordinates):
Zr 0.1798 0.3202 0.0000
Zr 0.3202 0.8202 0.0000
Zr 0.6798 0.1798 0.0000
Zr 0.8202 0.6798 0.0000
Ge 0.1263 0.6263 0.5000
Ge 0.3737 0.1263 0.5000
Ge 0.6263 0.8737 0.5000
Ge 0.8737 0.3737 0.5000
P 0.0000 0.0000 0.5000
P 0.5000 0.5000 0.5000

Computed properties:
- E (eV per atom) = -6.6999
- SG = P4/mbm
- D(E_F) (states/eV per cell) = 9.468
- energy relative to the elements (eV per atom) = -0.35

***

[2]
Zr2Ge2P: relaxed, PBE.

Lattice parameters (Å, degrees): 5.3028 5.3028 5.3028 120.80 120.80 88.62
Atoms (fractional coordinates):
Zr 0.2500 0.7500 0.5000
Zr 0.7500 0.2500 0.5000
Ge 0.1681 0.1681 0.0000
Ge 0.8319 0.8319 0.0000
P 0.5000 0.5000 0.0000

Computed properties:
- E (eV per atom) = -6.5201
- SG = I4/mmm
- D(E_F) (states/eV per cell) = 2.748
- energy relative to the elements (eV per atom) = -0.17

***

[3]
Zr3GeP: relaxed, PBE.

Lattice parameters (Å, degrees): 4.8460 4.8460 4.8460 90.00 90.00 90.00
Atoms (fractional coordinates):
Zr 0.0000 0.0000 0.5000
Zr 0.0000 0.5000 0.0000
Zr 0.5000 0.0000 0.0000
Ge 0.5000 0.5000 0.5000
P 0.0000 0.0000 0.0000

Computed properties:
- E (eV per atom) = -7.3860
- SG = Pm-3m
- D(E_F) (states/eV per cell) = 4.257
- energy relative to the elements (eV per atom) = -0.25

***

[4]
Zr4GeP: relaxed, PBE.

Lattice parameters (Å, degrees): 6.5567 6.5567 5.4081 90.00 90.00 90.00
Atoms (fractional coordinates):
Zr 0.1533 0.3346 0.0000
Zr 0.1533 0.6654 0.5000
Zr 0.3346 0.1533 0.5000
Zr 0.3346 0.8467 0.0000
Zr 0.6654 0.1533 0.0000
Zr 0.6654 0.8467 0.5000
Zr 0.8467 0.3346 0.5000
Zr 0.8467 0.6654 0.0000
Ge 0.5000 0.5000 0.2500
Ge 0.5000 0.5000 0.7500
P 0.0000 0.0000 0.2500
P 0.0000 0.0000 0.7500

Computed properties:
- E (eV per atom) = -8.2627
- SG = P4/mcc
- D(E_F) (states/eV per cell) = 5.714
- energy relative to the elements (eV per atom) = -0.89

***

| no. | polymorph energy (0 for the lowest one) (meV per atom) |
| --- | --- |
| 1 | 322.9 |
| 2 | 502.7 |
| 3 | 0.0 |
| 4 | 0.0 |